Entry from Alexandria via LeMat-Bulk: an optimized crystal structure of NaAl2Ge2 (PBE).

abc: 7.913 7.913 3.102
angles: 90.00 90.00 90.00
Positions (direct):
Na (0.000, 0.000, 0.000)
Na (0.500, 0.500, 0.000)
Al (0.128, 0.372, 0.000)
Al (0.372, 0.872, 0.000)
Al (0.628, 0.128, 0.000)
Al (0.872, 0.628, 0.000)
Ge (0.165, 0.665, 0.500)
Ge (0.335, 0.165, 0.500)
Ge (0.665, 0.835, 0.500)
Ge (0.835, 0.335, 0.500)

Computed properties:
Spin magnetization = 0.0 μB per formula unit
DFT total energy = -35.520 eV per cell
Space-group type = No. 127
ΔE_f = 0.06 eV/atom
Mass density = 3.80 Mg/m³
Distance to the lowest polymorph of the same formula = 0.139 eV/atom